# 1
BaYZr, optimized geometry, DFT PBE; energy relative to the lowest polymorph listed for this composition = 1.001 eV per atom; volume = 107.9 Å³ per cell; size of the total moment = 1.3 μB per formula unit; DFT formation energy = 1.3224 eV per atom
1.0
-2.568 4.670 0.379
-3.552 0.785 3.913
1.132 3.354 4.002
Ba Y Zr
1 1 1
direct
0.750 0.750 0.750
0.000 0.000 0.000
0.500 0.500 0.500

# 2
BaY2Zr, optimized geometry, DFT PBE; energy relative to the lowest polymorph listed for this composition = 0.000 eV per atom; volume = 137.0 Å³ per cell; size of the total moment = 0.0 μB per formula unit; DFT formation energy = 0.1920 eV per atom
1.0
-3.539 -0.397 -0.174
0.384 -2.179 -2.795
0.619 -8.444 6.667
Ba Y Zr
1 2 1
direct
0.500 0.500 0.750
0.000 0.000 0.050
0.000 0.000 0.450
0.500 0.500 0.250